A plane-wave DFT calculation with PBE-GGA was carried out for an optimized crystal structure of BeAl2Cl. Values from VASP.

Properties
symmetry	Fm-3m, No. 225
Fermi-level density of states	3.1	states/eV/f.u.
E_tot	-11.0	eV per cell
size of the total moment	0.00	μB per cell
energy relative to the elements, uncorrected	0.508	eV/atom
E above lowest polymorph	615	meV/atom

```
&SYSTEM
  ibrav = 0, nat = 4, ntyp = 3
/
ATOMIC_SPECIES
Be 9.01 Be.upf
Al 26.98 Al.upf
Cl 35.45 Cl.upf
ATOMIC_POSITIONS crystal
Be 0.000 0.000 0.000
Al 0.250 0.250 0.250
Al 0.750 0.750 0.750
Cl 0.500 0.500 0.500
CELL_PARAMETERS angstrom
0.000 3.260 3.260
3.260 0.000 3.260
3.260 3.260 0.000
```